[1]
In3FeRh | SCAN | single point on PBEsol structure

a b c (Å): 4.7344 4.7344 4.7344
angles (deg): 90.00 90.00 90.00
Fractional coordinates of all 5 atoms:
In 0.0000 0.0000 0.5000
In 0.0000 0.5000 0.0000
In 0.5000 0.0000 0.0000
Fe 0.0000 0.0000 0.0000
Rh 0.5000 0.5000 0.5000

total magnetization = 3.0 Bohr magnetons per cell
formation energy = 695.6 meV/atom
E = -29.716 eV per atom
space group = No. 221

***

[2]
InFeRh2 | SCAN | single point on PBEsol structure

a b c (Å): 4.2997 4.2997 3.1549
angles (deg): 90.00 90.00 90.00
Fractional coordinates of all 4 atoms:
In 0.0000 0.0000 0.0000
Fe 0.5000 0.5000 0.0000
Rh 0.0000 0.5000 0.5000
Rh 0.5000 0.0000 0.5000

total magnetization = 4.4 Bohr magnetons per cell
formation energy = -314.1 meV/atom
E = -30.079 eV per atom
space group = No. 123

***

[3]
InFeRh2 | SCAN | single point on PBEsol structure

a b c (Å): 2.8138 2.8138 7.2455
angles (deg): 90.00 90.00 90.00
Fractional coordinates of all 4 atoms:
In 0.0000 0.0000 0.0000
Fe 0.5000 0.5000 0.7340
Rh 0.0000 0.0000 0.5176
Rh 0.5000 0.5000 0.2675

total magnetization = 2.8 Bohr magnetons per cell
formation energy = 23.2 meV/atom
E = -29.742 eV per atom
space group = No. 99

***

[4]
InFeRh2 | SCAN | single point on PBEsol structure

a b c (Å): 4.8418 4.8418 4.8418
angles (deg): 133.90 133.90 67.25
Fractional coordinates of all 4 atoms:
In 0.0000 0.0000 0.0000
Fe 0.7500 0.2500 0.5000
Rh 0.2500 0.7500 0.5000
Rh 0.5000 0.5000 0.0000

total magnetization = 4.0 Bohr magnetons per cell
formation energy = -138.1 meV/atom
E = -29.903 eV per atom
space group = No. 119

***

[5]
InFeRh2 | SCAN | single point on PBEsol structure

a b c (Å): 3.0294 3.1437 6.1015
angles (deg): 90.00 90.00 90.00
Fractional coordinates of all 4 atoms:
In 0.0000 0.0000 0.0000
Fe 0.0000 0.0000 0.5000
Rh 0.5000 0.5000 0.2714
Rh 0.5000 0.5000 0.7286

total magnetization = 4.5 Bohr magnetons per cell
formation energy = -359.6 meV/atom
E = -30.124 eV per atom
space group = No. 47

***

[6]
InFeRu2 | SCAN | single point on PBEsol structure

a b c (Å): 4.7081 4.7081 4.6355
angles (deg): 101.40 101.40 34.99
Fractional coordinates of all 4 atoms:
In 0.0000 0.0000 0.0000
Fe 0.2432 0.2432 0.7413
Ru 0.5019 0.5019 0.5024
Ru 0.7596 0.7596 0.3022

total magnetization = 3.1 Bohr magnetons per cell
formation energy = 212.6 meV/atom
E = -30.080 eV per atom
space group = No. 8

***

[7]
InFe2Ru | SCAN | single point on PBEsol structure

a b c (Å): 2.9649 2.9649 6.2417
angles (deg): 90.00 90.00 90.00
Fractional coordinates of all 4 atoms:
In 0.0000 0.0000 0.0000
Fe 0.0000 0.0000 0.5214
Fe 0.5000 0.5000 0.7225
Ru 0.5000 0.5000 0.2993

total magnetization = 5.8 Bohr magnetons per cell
formation energy = 89.3 meV/atom
E = -26.029 eV per atom
space group = No. 99

***

[8]
InFeRu2 | SCAN | single point on PBEsol structure

a b c (Å): 5.1449 5.1449 5.1449
angles (deg): 147.18 127.93 62.93
Fractional coordinates of all 4 atoms:
In 0.0000 0.0000 0.0000
Fe 0.5000 0.5000 0.0000
Ru 0.2736 0.7736 0.5000
Ru 0.7264 0.2264 0.5000

total magnetization = 4.0 Bohr magnetons per cell
formation energy = 210.7 meV/atom
E = -30.081 eV per atom
space group = No. 71

***

[9]
InFe2Ru | SCAN | single point on PBEsol structure

a b c (Å): 2.7253 2.7253 7.3089
angles (deg): 90.00 90.00 90.00
Fractional coordinates of all 4 atoms:
In 0.0000 0.0000 0.0000
Fe 0.5000 0.5000 0.2728
Fe 0.5000 0.5000 0.7272
Ru 0.0000 0.0000 0.5000

total magnetization = 4.7 Bohr magnetons per cell
formation energy = 259.1 meV/atom
E = -25.859 eV per atom
space group = No. 123

***

[10]
InFe2Ru | SCAN | single point on PBEsol structure

a b c (Å): 4.6516 4.6516 4.6516
angles (deg): 131.34 131.34 71.27
Fractional coordinates of all 4 atoms:
In 0.0000 0.0000 0.0000
Fe 0.2500 0.7500 0.5000
Fe 0.7500 0.2500 0.5000
Ru 0.5000 0.5000 0.0000

total magnetization = 6.7 Bohr magnetons per cell
formation energy = 161.5 meV/atom
E = -25.956 eV per atom
space group = No. 139

***

[11]
InFe2Ru | SCAN | single point on PBEsol structure

a b c (Å): 3.7964 3.7964 3.8785
angles (deg): 90.00 90.00 90.00
Fractional coordinates of all 4 atoms:
In 0.0000 0.0000 0.0000
Fe 0.0000 0.5000 0.5000
Fe 0.5000 0.0000 0.5000
Ru 0.5000 0.5000 0.0000

total magnetization = 6.6 Bohr magnetons per cell
formation energy = 80.0 meV/atom
E = -26.038 eV per atom
space group = No. 123

***

[12]
YInFeRu2 | SCAN | single point on PBEsol structure

a b c (Å): 4.7803 4.7803 5.2378
angles (deg): 90.00 90.00 90.00
Fractional coordinates of all 5 atoms:
Y 0.0000 0.0000 0.0000
In 0.0000 0.0000 0.5000
Fe 0.5000 0.5000 0.0000
Ru 0.0000 0.5000 0.5000
Ru 0.5000 0.0000 0.5000

total magnetization = 4.8 Bohr magnetons per cell
formation energy = 1688.7 meV/atom
E = -28.114 eV per atom
space group = No. 123

***

[13]
InFe3S | SCAN | single point on PBEsol structure

a b c (Å): 4.1165 4.1165 4.1165
angles (deg): 90.00 90.00 90.00
Fractional coordinates of all 5 atoms:
In 0.0000 0.0000 0.0000
Fe 0.0000 0.5000 0.5000
Fe 0.5000 0.0000 0.5000
Fe 0.5000 0.5000 0.0000
S 0.5000 0.5000 0.5000

total magnetization = 6.0 Bohr magnetons per cell
E = -19.343 eV per atom
space group = No. 221

***

[14]
InFe3S | SCAN | single point on PBEsol structure

a b c (Å): 4.7124 4.7124 4.7124
angles (deg): 90.00 90.00 90.00
Fractional coordinates of all 5 atoms:
In 0.0000 0.0000 0.0000
Fe 0.0000 0.0000 0.5000
Fe 0.0000 0.5000 0.0000
Fe 0.5000 0.0000 0.0000
S 0.5000 0.5000 0.5000

total magnetization = 9.6 Bohr magnetons per cell
E = -17.919 eV per atom
space group = No. 221

***

[15]
InFeSb4 | SCAN | single point on PBEsol structure

a b c (Å): 6.1190 6.1190 6.1190
angles (deg): 60.00 60.00 60.00
Fractional coordinates of all 6 atoms:
In 0.0000 0.0000 0.0000
Fe 0.7500 0.7500 0.7500
Sb 0.3750 0.3750 0.3750
Sb 0.3750 0.3750 0.8750
Sb 0.3750 0.8750 0.3750
Sb 0.8750 0.3750 0.3750

total magnetization = 3.6 Bohr magnetons per cell
E = -32.740 eV per atom
space group = No. 216

***

[16]
InFe2Sb | SCAN | single point on PBEsol structure

a b c (Å): 8.1968 8.1968 8.1968
angles (deg): 21.63 21.63 21.63
Fractional coordinates of all 4 atoms:
In 0.0000 0.0000 0.0000
Fe 0.2473 0.2473 0.2473
Fe 0.7527 0.7527 0.7527
Sb 0.5000 0.5000 0.5000

total magnetization = 5.0 Bohr magnetons per cell
E = -26.277 eV per atom
space group = No. 166

***

[17]
InFeSb2Te | SCAN | single point on PBEsol structure

a b c (Å): 4.7380 4.7380 5.6517
angles (deg): 90.00 90.00 90.00
Fractional coordinates of all 5 atoms:
In 0.0000 0.0000 0.0000
Fe 0.5000 0.5000 0.5000
Sb 0.0000 0.5000 0.5000
Sb 0.5000 0.0000 0.5000
Te 0.5000 0.5000 0.0000

total magnetization = 1.2 Bohr magnetons per cell
E = -32.265 eV per atom
space group = No. 123

***

[18]
Sc2InFe | SCAN | single point on PBEsol structure

a b c (Å): 3.1662 3.1662 7.1913
angles (deg): 90.00 90.00 90.00
Fractional coordinates of all 4 atoms:
Sc 0.0000 0.0000 0.2033
Sc 0.0000 0.0000 0.7967
In 0.5000 0.5000 0.5000
Fe 0.5000 0.5000 0.0000

total magnetization = 0.0 Bohr magnetons per cell
formation energy = -347.8 meV/atom
E = -20.345 eV per atom
space group = No. 123

***

[19]
Sc2InFe | SCAN | single point on PBEsol structure

a b c (Å): 5.7537 5.7537 5.7537
angles (deg): 148.25 131.50 59.14
Fractional coordinates of all 4 atoms:
Sc 0.0000 0.0000 0.0000
Sc 0.6979 0.1979 0.5000
In 0.4132 0.4132 0.0000
Fe 0.2029 0.7029 0.5000

total magnetization = 1.1 Bohr magnetons per cell
formation energy = -169.4 meV/atom
E = -20.167 eV per atom
space group = No. 44

***

[20]
InFeSe | SCAN | single point on PBEsol structure

a b c (Å): 3.2614 3.2614 5.7845
angles (deg): 90.00 90.00 120.00
Fractional coordinates of all 3 atoms:
In 0.0000 0.0000 0.0000
Fe 0.3333 0.6667 0.3326
Se 0.6667 0.3333 0.5669

total magnetization = 2.3 Bohr magnetons per cell
E = -23.788 eV per atom
space group = No. 156